# 1
DFT (PBE) results for an optimized crystal structure of NbV6Ge4.

Output
**M_tot**: 0.00 μB per formula unit
**Density**: 6189 kg/m³
**Calculated volume**: 16.81 A^3/atom
**Calculated formation energy**: 0.15 eV per atom
**Calculated total energy**: -7.419 eV per atom
**Symmetry**: I-42m (121)

Lattice parameters (Å, degrees): 6.3717 6.3717 6.3717 119.26 119.26 91.28
Closest atoms and distances in Å follow each position.
Element x y z (fractional)
1 Nb 0.0000 0.0000 0.0000  4 Ge 2.62
2 V 0.0000 0.5000 0.5000  4 Ge 2.51, 4 V 2.79
3 V 0.2203 0.4974 0.0000  4 Ge 2.44-2.50, 1 V 2.53
4 V 0.4974 0.2203 0.0000  4 Ge 2.44-2.50, 1 V 2.53
5 V 0.5000 0.0000 0.5000  4 Ge 2.51, 4 V 2.79
6 V 0.5026 0.5026 0.7229  4 Ge 2.44-2.50, 1 V 2.53
7 V 0.7797 0.7797 0.2771  4 Ge 2.44-2.50, 1 V 2.53
8 Ge 0.1465 0.1465 0.5279  6 V 2.44-2.51, 1 Nb 2.62
9 Ge 0.3814 0.8535 0.0000  6 V 2.44-2.51, 1 Nb 2.62
10 Ge 0.6186 0.6186 0.4721  6 V 2.44-2.51, 1 Nb 2.62
11 Ge 0.8535 0.3814 0.0000  6 V 2.44-2.51, 1 Nb 2.62

---

# 2
DFT (PBE) results for an optimized crystal structure of TbDy8Sc5.

Output
**M_tot**: 0.00 μB per formula unit
**Density**: 6650 kg/m³
**Calculated volume**: 30.03 A^3/atom
**Calculated formation energy**: 0.26 eV per atom
**Calculated total energy**: -4.962 eV per atom
**Symmetry**: I-4 (82)

Lattice parameters (Å, degrees): 8.1818 8.1818 8.1818 111.26 111.26 105.94
Closest atoms and distances in Å follow each position.
Element x y z (fractional)
1 Tb 0.0000 0.0000 0.0000  4 Dy 3.16
2 Dy 0.0943 0.6720 0.7635  4 Sc 3.04-3.30, 1 Tb 3.16
3 Dy 0.2756 0.5198 0.1047  5 Sc 3.22-3.50, 3 Dy 3.44-3.47
4 Dy 0.3280 0.0915 0.4223  4 Sc 3.04-3.30, 1 Tb 3.16
5 Dy 0.4151 0.1709 0.8953  5 Sc 3.22-3.50, 3 Dy 3.44-3.47
6 Dy 0.4802 0.5849 0.7558  5 Sc 3.22-3.50, 3 Dy 3.44-3.47
7 Dy 0.6692 0.9057 0.5777  4 Sc 3.04-3.30, 1 Tb 3.16
8 Dy 0.8291 0.7244 0.2442  5 Sc 3.22-3.50, 3 Dy 3.44-3.47
9 Dy 0.9085 0.3308 0.2365  4 Sc 3.04-3.30, 1 Tb 3.16
10 Sc 0.0239 0.2114 0.5927  8 Dy 3.20-3.50, 2 Sc 3.32
11 Sc 0.2500 0.7500 0.5000  8 Dy 3.04-3.22
12 Sc 0.5688 0.9761 0.1875  8 Dy 3.20-3.50, 2 Sc 3.32
13 Sc 0.6187 0.4312 0.4073  8 Dy 3.20-3.50, 2 Sc 3.32
14 Sc 0.7886 0.3813 0.8125  8 Dy 3.20-3.50, 2 Sc 3.32

---

# 3
DFT (PBE) results for an optimized crystal structure of Sc2SbOsC.

Output
**M_tot**: 0.00 μB per formula unit
**Density**: 8013 kg/m³
**Calculated volume**: 17.15 A^3/atom
**Raw formation energy**: -0.439 eV/atom
**Calculated total energy**: -7.887 eV per atom
**Symmetry**: P4/mmm (123)

Lattice parameters (Å, degrees): 4.6430 4.6430 3.9789 90.00 90.00 90.00
Closest atoms and distances in Å follow each position.
Element x y z (fractional)
1 Sc 0.0000 0.5000 0.0000  2 C 2.32
2 Sc 0.5000 0.0000 0.0000  2 C 2.32
3 Sb 0.0000 0.0000 0.5000  8 Sc 3.06, 4 Os 3.28
4 Os 0.5000 0.5000 0.5000  2 C 1.99
5 C 0.5000 0.5000 0.0000  2 Os 1.99